Entry from Alexandria via LeMat-Bulk: a relaxed Ba3Np2CoO9 crystal (PBE+U).

The uncorrected energy is -8.098 eV per atom. The density of states at the Fermi level comes out at 15.7 states/eV/cell.

The structure belongs to space group P-3m1 (No. 164); the cell edges are 6.0441, 6.0441 and 7.4820 Å and the angles 90.00°, 90.00° and 120.00°. Symmetry generates all atoms from Ba at (0.0000, 0.0000, 0.0000), Ba at (0.3333, 0.6667, 0.6488), Np at (0.3333, 0.6667, 0.1746), Co at (0.0000, 0.0000, 0.5000), O at (0.0000, 0.5000, 0.0000) and O at (0.1695, 0.3391, 0.3308).